i) # BaSr2Re | Alexandria via LeMat-Bulk | PBEsol | optimized geometry
# Fermi-level density of states (states/eV/f.u.): 5.90
data_BaSr2Re
_cell_length_a 7.808
_cell_length_b 7.808
_cell_length_c 7.808
_cell_angle_alpha 90.00
_cell_angle_beta 90.00
_cell_angle_gamma 90.00
_symmetry_space_group_name_H-M 'F -4 3 m'
_symmetry_Int_Tables_number 216
_symmetry_space_group_name_Hall 'F -4 2 3'
loop_
_atom_site_label
_atom_site_fract_x
_atom_site_fract_y
_atom_site_fract_z
Ba1 0.000 0.000 0.000
Sr1 0.000 0.000 0.500
Sr2 0.250 0.250 0.250
Re1 0.250 0.250 0.750

---

ii) # BaSr2Re | Alexandria via LeMat-Bulk | PBEsol | optimized geometry
# Fermi-level density of states (states/eV/f.u.): 5.06
data_BaSr2Re
_cell_length_a 5.120
_cell_length_b 5.120
_cell_length_c 9.247
_cell_angle_alpha 90.00
_cell_angle_beta 90.00
_cell_angle_gamma 90.00
_symmetry_space_group_name_H-M 'I 4/m m m'
_symmetry_Int_Tables_number 139
_symmetry_space_group_name_Hall '-I 4 2'
loop_
_atom_site_label
_atom_site_fract_x
_atom_site_fract_y
_atom_site_fract_z
Ba1 0.000 0.000 0.000
Sr1 0.000 0.500 0.250
Re1 0.000 0.000 0.500

---

Of them, the most stable is ii) and the least stable is i).

---

i) # BaReTe3 | Alexandria via LeMat-Bulk | PBEsol | optimized geometry
# Fermi-level density of states (states/eV/f.u.): 5.50
data_BaReTe3
_cell_length_a 5.365
_cell_length_b 5.365
_cell_length_c 5.365
_cell_angle_alpha 90.00
_cell_angle_beta 90.00
_cell_angle_gamma 90.00
_symmetry_space_group_name_H-M 'P m -3 m'
_symmetry_Int_Tables_number 221
_symmetry_space_group_name_Hall '-P 4 2 3'
loop_
_atom_site_label
_atom_site_fract_x
_atom_site_fract_y
_atom_site_fract_z
Ba1 0.000 0.000 0.000
Re1 0.500 0.500 0.500
Te1 0.000 0.500 0.500

---

ii) # BaReTe3 | Alexandria via LeMat-Bulk | PBEsol | optimized geometry
# Fermi-level density of states (states/eV/f.u.): 9.32
data_BaReTe3
_cell_length_a 6.258
_cell_length_b 6.258
_cell_length_c 6.258
_cell_angle_alpha 90.00
_cell_angle_beta 90.00
_cell_angle_gamma 90.00
_symmetry_space_group_name_H-M 'P m -3 m'
_symmetry_Int_Tables_number 221
_symmetry_space_group_name_Hall '-P 4 2 3'
loop_
_atom_site_label
_atom_site_fract_x
_atom_site_fract_y
_atom_site_fract_z
Ba1 0.000 0.000 0.000
Re1 0.500 0.500 0.500
Te1 0.000 0.000 0.500

---

Of them, the most stable is i) and the least stable is ii).